# Mg8SnAu2

A geometry-optimized Mg8SnAu2 structure (PBE, the Alexandria database).

a = 5.0315 Å, b = 7.4838 Å, c = 7.4838 Å
α = 114.39°, β = 98.42°, γ = 98.42°
Closest atoms and distances in Å follow each position.
Sites, in units of the cell vectors:
1 Mg 0.9122 0.9306 0.6766  2 Au 2.72-2.80
2 Mg 0.9122 0.6766 0.9306  2 Au 2.72-2.80
3 Mg 0.2964 0.6093 0.6093  2 Au 2.80, 2 Mg 3.03-3.05, 1 Sn 3.05
4 Mg 0.5000 0.7580 0.2420  2 Au 2.67
5 Mg 0.5000 0.2420 0.7580  2 Au 2.67
6 Mg 0.7036 0.3907 0.3907  2 Au 2.80, 2 Mg 3.03-3.05, 1 Sn 3.05
7 Mg 0.0878 0.3234 0.0694  2 Au 2.72-2.80
8 Mg 0.0878 0.0694 0.3234  2 Au 2.72-2.80
9 Sn 0.5000 0.0000 0.0000  12 Mg 3.04-3.36
10 Au 0.0000 0.3129 0.6871  8 Mg 2.67-2.80
11 Au 0.0000 0.6871 0.3129  8 Mg 2.67-2.80

Output
Energy relative to the lowest polymorph listed for this composition (kJ/mol of atoms): 1.0
Energy of formation from the pure elements (eV per atom): -0.29
Energy (eV per atom): -2.4080
SG: C2/m, No. 12
Total moment (μB/f.u.): 0.0